A geometry-optimized Rb2ZnHg2 structure. Source: Alexandria via LeMat-Bulk, functional PBE.

Output
Energy above the most stable polymorph in this dataset in kJ/mol of formula units: 25
Space-group type: No. 139
Calculated volume in Å³/f.u.: 211
Formation enthalpy at 0 K in eV per atom: -0.02
Magnetic moment in μB/f.u.: 0.0
VASP energy in eV per atom: -0.78

Cell lengths 4.5207, 4.5207, 10.7882 Å; angles 77.91, 77.91, 90.00 degrees
Fractional coordinates of all 5 atoms:
Zn (0.0000, 0.0000, 0.0000)
Rb (0.3939, 0.3939, 0.2122)
Rb (0.6061, 0.6061, 0.7878)
Hg (0.7500, 0.2500, 0.5000)
Hg (0.2500, 0.7500, 0.5000)